No. 1
{"formula": "AgIrBr4", "functional": "PBE", "state": "optimized geometry", "magmom_total_mub_per_fu": 0.0, "raw_formation_energy_ev_per_atom": -0.2564, "sg": "No. 15", "cell": [[-1.098, -1.284, -3.416], [7.909, -2.607, -3.689], [-0.191, -10.426, 1.855]], "species": ["Ag", "Ag", "Ir", "Ir", "Br", "Br", "Br", "Br", "Br", "Br", "Br", "Br"], "fractional_positions": [[0.751, 0.750, 0.250], [0.249, 0.250, 0.750], [0.500, 0.500, 0.000], [0.000, 0.000, 0.500], [0.658, 0.231, 0.953], [0.842, 0.269, 0.547], [0.454, 0.934, 0.658], [0.046, 0.566, 0.842], [0.546, 0.066, 0.342], [0.342, 0.769, 0.047], [0.158, 0.731, 0.453], [0.954, 0.434, 0.158]]}

No. 2
{"formula": "LaY", "functional": "PBE", "state": "optimized geometry", "magmom_total_mub_per_fu": 0.0, "e_form_ev_per_atom": 0.029, "dos_at_fermi_per_ev_fu": 3.6, "sg": "No. 8", "cell": [[3.726, 0.000, 0.000], [-1.863, 6.681, -0.003], [0.000, 2.074, 8.450]], "species": ["La", "La", "La", "Y", "Y", "Y"], "fractional_positions": [[0.002, 0.003, 0.999], [0.388, 0.776, 0.724], [0.334, 0.667, 0.333], [0.665, 0.330, 0.664], [0.059, 0.119, 0.388], [0.719, 0.438, 0.057]]}